(1)
OsAuS3 | PBE | relaxed

E_form (uncorrected), eV/atom: 0.762
Polymorph energy (0 for the lowest one), meV per atom: 0.0
Spin magnetization, μB per formula unit: 0.00
Calculated density, g cm⁻³: 8.12
Total DFT energy (no corrections), eV per atom: -4.616
Space-group type: Pm-3m
DOS(E_F), states/eV per cell: 6.34

a b c (Å): 4.6236 4.6236 4.6236
angles (deg): 90.00 90.00 90.00
Closest atoms and distances in Å follow each position.
Positions (direct):
Os1 0.0000 0.0000 0.0000  6 S 2.31
Au1 0.5000 0.5000 0.5000  12 S 3.27
S1 0.0000 0.0000 0.5000  2 Os 2.31
S2 0.0000 0.5000 0.0000  2 Os 2.31
S3 0.5000 0.0000 0.0000  2 Os 2.31

(2)
CsTi2Ag | PBE | relaxed

Spin magnetization, μB per formula unit: 0.00
Calculated density, g cm⁻³: 4.55
Total DFT energy (no corrections), eV per atom: -3.707
Space-group type: I-42d
DOS(E_F), states/eV per cell: 8.23

a b c (Å): 11.2923 11.2923 11.2923
angles (deg): 155.60 155.60 34.78
Closest atoms and distances in Å follow each position.
Positions (direct):
Cs1 0.0000 0.0000 0.0000  4 Ag 3.38, 4 Ti 3.70
Cs2 0.7500 0.2500 0.5000  4 Ag 3.38, 4 Ti 3.70
Ti1 0.3425 0.6250 0.2175  2 Ti 2.41
Ti2 0.3750 0.5925 0.7175  2 Ti 2.41
Ti3 0.4075 0.1250 0.7825  2 Ti 2.41
Ti4 0.8750 0.6575 0.2825  2 Ti 2.41
Ag1 0.2500 0.7500 0.5000  4 Ti 2.95
Ag2 0.5000 0.5000 0.0000  4 Ti 2.95

(3)
LiSi2Ag | PBE | relaxed

E_form (uncorrected), eV/atom: 0.162
Polymorph energy (0 for the lowest one), meV per atom: 112.9
Spin magnetization, μB per formula unit: 0.00
Calculated density, g cm⁻³: 4.52
Total DFT energy (no corrections), eV per atom: -3.740
Space-group type: Cmm2
DOS(E_F), states/eV per cell: 1.20

a b c (Å): 2.7844 2.7844 8.2646
angles (deg): 90.00 90.00 101.21
Closest atoms and distances in Å follow each position.
Positions (direct):
Li1 0.0000 0.0000 0.0000  4 Si 2.66-2.93, 2 Ag 2.77, 4 Li 2.78
Si1 0.0000 0.0000 0.4642  8 Si 2.56-2.84
Si2 0.5000 0.5000 0.2399  8 Si 2.56-2.84, 2 Li 2.66
Ag1 0.5000 0.5000 0.7412  4 Li 2.77-3.03, 4 Ag 2.78, 2 Si 2.89

(4)
ZrCoAu | PBE | relaxed

Spin magnetization, μB per formula unit: 0.00
Calculated density, g cm⁻³: 10.23
Total DFT energy (no corrections), eV per atom: -6.405
Space-group type: R-3m
DOS(E_F), states/eV per cell: 2.25

a b c (Å): 7.3351 7.3351 7.3351
angles (deg): 34.46 34.46 34.46
Closest atoms and distances in Å follow each position.
Positions (direct):
Zr1 0.1178 0.1178 0.1178  4 Co 2.58-2.60
Zr2 0.8822 0.8822 0.8822  4 Co 2.58-2.60
Co1 0.2437 0.2437 0.2437  4 Zr 2.58-2.60, 4 Au 2.63-2.73
Co2 0.7563 0.7563 0.7563  4 Zr 2.58-2.60, 4 Au 2.63-2.73
Au1 0.3707 0.3707 0.3707  4 Co 2.63-2.73
Au2 0.6293 0.6293 0.6293  4 Co 2.63-2.73

(5)
Pr4NdCd5 | PBE | relaxed

Spin magnetization, μB per formula unit: 1.99
Calculated density, g cm⁻³: 7.23
Total DFT energy (no corrections), eV per atom: -3.164
Space-group type: P4/mmm
DOS(E_F), states/eV per cell: 12.42

a b c (Å): 3.8750 3.8750 19.4337
angles (deg): 90.00 90.00 90.00
Closest atoms and distances in Å follow each position.
Positions (direct):
Pr1 0.0000 0.0000 0.1004  8 Cd 3.36
Pr2 0.0000 0.0000 0.3011  8 Cd 3.36-3.37
Pr3 0.0000 0.0000 0.6989  8 Cd 3.36-3.37
Pr4 0.0000 0.0000 0.8996  8 Cd 3.36
Nd1 0.0000 0.0000 0.5000  8 Cd 3.34
Cd1 0.5000 0.5000 0.0000  8 Pr 3.36
Cd2 0.5000 0.5000 0.2006  8 Pr 3.36
Cd3 0.5000 0.5000 0.4018  4 Nd 3.34, 4 Pr 3.37
Cd4 0.5000 0.5000 0.5982  4 Nd 3.34, 4 Pr 3.37
Cd5 0.5000 0.5000 0.7994  8 Pr 3.36

(6)
NbCr2Ir | PBE | relaxed

Polymorph energy (0 for the lowest one), meV per atom: 0.0
Spin magnetization, μB per formula unit: 2.05
Calculated density, g cm⁻³: 11.42
Total DFT energy (no corrections), eV per atom: -9.541
Space-group type: Fm-3m
DOS(E_F), states/eV per cell: 8.40

a b c (Å): 4.3095 4.3095 4.3095
angles (deg): 60.00 60.00 60.00
Closest atoms and distances in Å follow each position.
Positions (direct):
Nb1 0.0000 0.0000 0.0000  8 Cr 2.64
Cr1 0.2500 0.2500 0.2500  4 Ir 2.64, 4 Nb 2.64
Cr2 0.7500 0.7500 0.7500  4 Nb 2.64, 4 Ir 2.64
Ir1 0.5000 0.5000 0.5000  8 Cr 2.64

(7)
Ce2RhN | PBE | relaxed

E_form (uncorrected), eV/atom: -0.698
Polymorph energy (0 for the lowest one), meV per atom: 250.4
Spin magnetization, μB per formula unit: 0.89
Calculated density, g cm⁻³: 9.64
Total DFT energy (no corrections), eV per atom: -7.585
Space-group type: P4/mmm
DOS(E_F), states/eV per cell: 7.40

a b c (Å): 3.1048 3.1048 7.0933
angles (deg): 90.00 90.00 90.00
Closest atoms and distances in Å follow each position.
Positions (direct):
Ce1 0.0000 0.0000 0.2075  4 N 2.64, 1 Ce 2.94
Ce2 0.0000 0.0000 0.7925  4 N 2.64, 1 Ce 2.94
Rh1 0.5000 0.5000 0.5000  8 Ce 3.02, 4 Rh 3.10
N1 0.5000 0.5000 0.0000  8 Ce 2.64

(8)
IrRh2 | PBE | relaxed

Polymorph energy (0 for the lowest one), meV per atom: 22.8
Spin magnetization, μB per formula unit: 0.00
Calculated density, g cm⁻³: 15.39
Total DFT energy (no corrections), eV per atom: -7.845
Space-group type: R-3m
DOS(E_F), states/eV per cell: 3.64

a b c (Å): 6.8809 6.8809 6.8809
angles (deg): 22.81 22.81 22.81
Closest atoms and distances in Å follow each position.
Positions (direct):
Ir1 0.0000 0.0000 0.0000  6 Rh 2.71, 6 Ir 2.72
Rh1 0.2232 0.2232 0.2232  3 Ir 2.71, 9 Rh 2.72-2.76
Rh2 0.7768 0.7768 0.7768  3 Ir 2.71, 9 Rh 2.72-2.76

Among the records above, which one has the lowest DOS(E_F)? LiSi2Ag